The following is a DFT calculation (PBE) of W4N after structural relaxation.

Cell lengths 4.143, 4.143, 4.143 Å; angles 90.00, 90.00, 90.00 degrees
Element x y z (fractional)
W1 0.000 0.000 0.000
W2 0.000 0.500 0.500
W3 0.500 0.000 0.500
W4 0.500 0.500 0.000
N1 0.500 0.500 0.500

Properties
Symmetry: No. 221
Raw formation energy: 130 meV per atom
Raw total energy: -59.49 eV per cell
Total moment: 0.00 Bohr magnetons per cell
N(E_F): 5.94 states/eV/cell
Mass density: 17.49 Mg/m³
Calculated volume: 14.23 A^3/atom